# 1
First-principles (PBE) data for a geometry-optimized La12Nd5Sm structure, as listed in the Alexandria database.

Formation energy   0.02 eV/atom
Total magnetization   0.0000 μB/atom
Energy   -4.8556 eV/atom
Crystal system   monoclinic

Cell lengths 19.288, 11.111, 6.439 Å; angles 90.00, 109.35, 90.00 degrees
Space group C2/m (No. 12)
Asymmetric unit:
La (0.000, 0.168, 0.000) [4 per cell]
La (0.000, 0.331, 0.500) [4 per cell]
La (0.166, 0.168, 0.833) [8 per cell]
La (0.167, 0.332, 0.333) [8 per cell]
Nd (0.000, 0.500, 0.000) [2 per cell]
Nd (0.166, 0.000, 0.334) [4 per cell]
Nd (0.167, 0.500, 0.833) [4 per cell]
Sm (0.000, 0.000, 0.500) [2 per cell]


# 2
First-principles (PBE) data for a geometry-optimized NaTl2CuS2 structure, as listed in the Alexandria database.

Total magnetization   0.0000 μB/atom
Energy   -3.4922 eV/atom
Crystal system   orthorhombic

Cell lengths 6.442, 15.033, 6.035 Å; angles 90.00, 90.00, 90.00 degrees
Space group Ibam (No. 72)
Asymmetric unit:
Na (0.000, 0.000, 0.250) [4 per cell]
Tl (0.208, 0.330, 0.000) [8 per cell]
Cu (0.000, 0.500, 0.250) [4 per cell]
S (0.210, 0.409, 0.500) [8 per cell]


# 3
First-principles (PBE) data for a geometry-optimized GdLuMgCu structure, as listed in the Alexandria database.

Formation energy   -0.06 eV/atom
Total magnetization   1.8539 μB/atom
Energy   -6.1363 eV/atom
Crystal system   cubic

Cell lengths 7.218, 7.218, 7.218 Å; angles 90.00, 90.00, 90.00 degrees
Space group F-43m (No. 216)
Asymmetric unit:
Gd (0.000, 0.000, 0.000) [4 per cell]
Lu (0.000, 0.000, 0.500) [4 per cell]
Mg (0.250, 0.250, 0.750) [4 per cell]
Cu (0.250, 0.250, 0.250) [4 per cell]


# 4
First-principles (PBE) data for a geometry-optimized KNaBrCl structure, as listed in the Alexandria database.

Total magnetization   0.0000 μB/atom
Energy   -3.2321 eV/atom
Crystal system   trigonal

Cell lengths 4.3586, 4.3586, 21.7179 Å; angles 90.00, 90.00, 120.00 degrees
Space group R3m (No. 160, hexagonal axes)
Asymmetric unit:
K (0.0000, 0.0000, 0.0000) [3 per cell]
Na (0.0000, 0.0000, 0.5079) [3 per cell]
Br (0.0000, 0.0000, 0.7634) [3 per cell]
Cl (0.0000, 0.0000, 0.2460) [3 per cell]


# 5
First-principles (PBE) data for a geometry-optimized SmY3Cu structure, as listed in the Alexandria database.

Formation energy   0.08 eV/atom
Total magnetization   0.0000 μB/atom
Energy   -5.5566 eV/atom
Crystal system   cubic
Energy relative to the lowest polymorph listed for this composition   51.9 meV/atom

Cell lengths 5.405, 5.405, 5.405 Å; angles 90.00, 90.00, 90.00 degrees
Space group Pm-3m (No. 221)
Asymmetric unit:
Sm (0.000, 0.000, 0.000) [1 per cell]
Y (0.000, 0.500, 0.500) [3 per cell]
Cu (0.500, 0.500, 0.500) [1 per cell]


# 6
First-principles (PBE) data for a geometry-optimized AcMoP2 structure, as listed in the Alexandria database.

Formation energy   -0.67 eV/atom
Total magnetization   0.2293 μB/atom
Energy   -7.1109 eV/atom
Crystal system   trigonal
Energy relative to the lowest polymorph listed for this composition   0.0 meV/atom

Cell lengths 3.9428, 3.9428, 18.9243 Å; angles 90.00, 90.00, 120.00 degrees
Space group R-3m (No. 166, hexagonal axes)
Asymmetric unit:
Ac (0.0000, 0.0000, 0.0000) [3 per cell]
Mo (0.0000, 0.0000, 0.5000) [3 per cell]
P (0.0000, 0.0000, 0.2284) [6 per cell]